# Pm2HgC2N6, optimized geometry, DFT PBE
data_Pm2HgC2N6
_cell_length_a 11.3134
_cell_length_b 5.7972
_cell_length_c 6.2799
_cell_angle_alpha 90.00
_cell_angle_beta 112.89
_cell_angle_gamma 90.00
_symmetry_space_group_name_H-M 'C 1 2/m 1'
_symmetry_Int_Tables_number 12
loop_
_symmetry_equiv_pos_as_xyz
'x,y,z'
'-x,-y,-z'
'-x,y,-z'
'x,-y,z'
'x+1/2,y+1/2,z'
'-x+1/2,-y+1/2,-z'
'-x+1/2,y+1/2,-z'
'x+1/2,-y+1/2,z'
loop_
_atom_site_label
_atom_site_fract_x
_atom_site_fract_y
_atom_site_fract_z
_atom_site_occupancy
Pm1 0.1586 0.0000 0.2810 1
Hg1 0.0000 0.5000 0.0000 1
C1 0.1536 0.0000 0.7398 1
N1 0.0730 0.0000 0.8483 1
N2 0.1974 0.1896 0.6755 1
# Raw formation energy (eV per formula unit): -1.37
# Density (g cm⁻³): 5.2